(1)
DFT (PBE) results for a relaxed structure of Er3GaSi2Ni9.

```
Er3GaSi2Ni9
1.0
5.805 0.000 0.000
-2.902 5.027 0.000
0.000 0.000 8.512
Er Ga Si Ni
3 1 2 9
Cartesian
0.000 3.351 5.919
0.000 0.000 0.000
2.902 1.676 2.593
0.000 0.000 4.256
0.000 3.351 1.500
2.902 1.676 7.012
4.597 0.697 6.152
2.902 3.632 6.152
1.208 0.697 6.152
1.695 4.330 2.360
0.000 1.395 2.360
-1.695 4.330 2.360
2.902 0.000 0.000
-1.451 2.514 0.000
1.451 2.514 0.000
```

Summary:
total DFT energy (no corrections): -84.23 eV/f.u.
Fermi-level density of states: 9.285 states/eV/f.u.
M_tot: 0.00 μB per formula unit
ΔE_f (raw): -0.3091 eV per atom



(2)
DFT (PBE) results for a relaxed structure of SrSc2VMo.

```
SrSc2VMo
1.0
-0.908 -4.997 -1.328
2.155 -1.443 3.956
-4.585 0.154 2.553
Sc Sr Mo V
2 1 1 1
Cartesian
-2.292 0.077 1.276
-0.454 -2.499 -0.664
-1.669 -3.143 2.590
0.000 0.000 0.000
1.077 -0.722 1.978
```

Summary:
energy of formation: 515 meV per atom
total DFT energy (no corrections): -31.72 eV/f.u.
Fermi-level density of states: 5.198 states/eV/f.u.
M_tot: 1.20 μB per formula unit



(3)
DFT (PBE) results for a relaxed structure of RbTlP2Cl.

```
RbTlP2Cl
1.0
-4.009 2.791 1.716
-3.059 -2.216 -3.540
-1.410 -4.511 4.042
P Tl Rb Cl
2 1 1 1
Cartesian
-1.529 -1.108 -1.770
-2.004 1.395 0.858
0.000 0.000 0.000
-4.239 -1.968 1.109
-0.705 -2.255 2.021
```

Summary:
total DFT energy (no corrections): -15.03 eV/f.u.
Fermi-level density of states: 3.640 states/eV/f.u.
M_tot: 1.36 μB per formula unit
ΔE_f (raw): 0.1938 eV per atom
ΔE to the lowest computed polymorph: 0.0 meV/atom



(4)
DFT (PBE) results for a relaxed structure of Zr2Be2Pd.

```
Zr2Be2Pd
1.0
6.430 0.000 0.000
0.000 6.430 0.000
0.000 0.000 3.742
Be Zr Pd
4 4 2
Cartesian
2.428 5.643 0.000
5.643 4.002 0.000
4.002 0.787 0.000
0.787 2.428 0.000
1.110 4.325 1.871
4.325 5.320 1.871
5.320 2.105 1.871
2.105 1.110 1.871
0.000 0.000 0.000
3.215 3.215 0.000
```

Summary:
energy of formation: -403 meV per atom
total DFT energy (no corrections): -31.75 eV/f.u.
Fermi-level density of states: 3.540 states/eV/f.u.
M_tot: 0.00 μB per formula unit



(5)
DFT (PBE) results for a relaxed structure of ZrAgBr.

```
ZrAgBr
1.0
7.486 0.045 0.000
6.063 4.391 0.000
-6.774 -2.218 2.287
Br Zr Ag
1 1 1
Cartesian
3.982 1.304 0.000
9.102 2.980 0.000
0.465 0.152 0.000
```

Summary:
total DFT energy (no corrections): -13.91 eV/f.u.
Fermi-level density of states: 2.867 states/eV/f.u.
M_tot: 0.00 μB per formula unit
ΔE_f (raw): -0.2796 eV per atom
ΔE to the lowest computed polymorph: 119.3 meV/atom



(6)
DFT (PBE) results for a relaxed structure of Na2ZnIn6Ag.

```
Na2ZnIn6Ag
1.0
7.318 0.000 0.000
3.659 6.338 0.000
3.659 2.113 12.160
Na Zn In Ag
4 2 12 2
Cartesian
10.978 6.338 3.911
3.659 2.113 8.249
10.978 6.338 10.335
3.659 2.113 1.825
0.000 0.000 0.000
7.318 4.225 6.080
9.466 2.986 4.831
7.318 6.705 4.831
5.171 2.986 4.831
5.171 5.465 7.329
7.318 1.746 7.329
9.466 5.465 7.329
8.897 3.314 10.949
7.318 6.048 10.949
5.739 3.314 10.949
5.739 5.137 1.211
7.318 2.402 1.211
8.897 5.137 1.211
7.318 4.225 3.401
7.318 4.225 8.759
```

Summary:
energy of formation: 46 meV per atom
total DFT energy (no corrections): -22.73 eV/f.u.
Fermi-level density of states: 4.535 states/eV/f.u.
M_tot: 0.00 μB per formula unit



(7)
DFT (PBE) results for a relaxed structure of ZnH2Rh2.

```
ZnH2Rh2
1.0
-1.403 1.197 2.424
-1.790 -2.459 0.178
1.858 -2.919 4.430
H Zn Rh
2 1 2
Cartesian
-0.571 -1.177 4.078
-0.764 -3.004 2.954
0.000 0.000 0.000
-0.585 -1.301 2.217
-0.750 -2.880 4.815
```

Summary:
total DFT energy (no corrections): -23.52 eV/f.u.
Fermi-level density of states: 2.157 states/eV/f.u.
M_tot: 0.00 μB per formula unit
ΔE to the lowest computed polymorph: 0.0 meV/atom



(8)
DFT (PBE) results for a relaxed structure of GaAgBr.

```
GaAgBr
1.0
-3.073 3.478 -1.259
-1.895 -3.433 -4.859
-8.189 -4.841 6.614
Ga Br Ag
4 4 4
Cartesian
-4.820 2.140 -0.648
-9.858 -5.214 0.521
-10.927 -2.628 1.090
-3.751 -0.447 -1.218
-5.109 -4.767 -2.464
-7.102 -1.099 3.347
-6.419 -4.385 1.788
-5.793 -1.482 -0.905
-1.182 -0.866 -1.988
-11.268 -4.730 2.773
-10.230 -7.372 2.125
-2.220 1.776 -1.340
```

Summary:
total DFT energy (no corrections): -8.01 eV/f.u.
Fermi-level density of states: 0.592 states/eV/f.u.
M_tot: 0.00 μB per formula unit
ΔE_f (raw): -0.1525 eV per atom



Q: The highest total DFT energy (no corrections) belongs to which entry?
A: GaAgBr



Q: What is the M_tot in the fifth record?
A: 0.00 μB per formula unit